An optimized crystal structure of CoI2O. Source: Alexandria, functional PBE with a Hubbard U.

Space group: I-42d, No. 122
Total magnetic moment: 0.0 Bohr magnetons per cell
VASP energy: -20.493 eV/cell

Cell lengths 7.035, 7.035, 7.035 Å; angles 132.72, 132.72, 69.09 degrees
Fractional coordinates of all 8 atoms:
Co 0.000 0.000 0.000
Co 0.750 0.250 0.500
I 0.108 0.625 0.983
I 0.375 0.358 0.483
I 0.642 0.125 0.017
I 0.875 0.892 0.517
O 0.250 0.750 0.500
O 0.500 0.500 0.000